Here is CaCuOs2Ru after structural relaxation from Alexandria. Energies are from GGA-PBE.

Properties
For the energy of formation, the calculation gives 1.751 eV per atom. As for the spin magnetization: 2.822 Bohr magnetons per cell. As for the total energy: -0.42745 Ry/atom.

Structure (CIF):
```
data_CaCuOs2Ru
_chemical_formula_sum 'Ca1 Cu1 Os2 Ru1'
_symmetry_space_group_name_H-M 'P 4/m m m'
_symmetry_Int_Tables_number 123
_symmetry_space_group_name_Hall '-P 4 2'
_cell_length_a 4.518
_cell_length_b 4.518
_cell_length_c 4.668
_cell_angle_alpha 90.00
_cell_angle_beta 90.00
_cell_angle_gamma 90.00
loop_
_atom_site_label
_atom_site_type_symbol
_atom_site_fract_x
_atom_site_fract_y
_atom_site_fract_z
Ca1 Ca 0.000 0.000 0.000
Cu1 Cu 0.000 0.000 0.500
Os1 Os 0.000 0.500 0.500
Ru1 Ru 0.500 0.500 0.000
```

=====

Here is Cs2PaSe3 after structural relaxation from Alexandria. Energies are from GGA-PBE.

Properties
As for the spin magnetization: 16.026 Bohr magnetons per cell. As for the total energy: -0.36320 Ry/atom. The uncorrected formation energy comes out at -1.33 eV/atom.

Structure (CIF):
```
data_Cs2PaSe3
_chemical_formula_sum 'Cs32 Pa16 Se48'
_symmetry_space_group_name_H-M 'F d d d'
_symmetry_Int_Tables_number 70
_cell_length_a 9.985
_cell_length_b 13.325
_cell_length_c 26.913
_cell_angle_alpha 90.00
_cell_angle_beta 90.00
_cell_angle_gamma 90.00
loop_
_symmetry_equiv_pos_as_xyz
'x,y,z'
'-x,-y,-z'
'-x+1/4,-y+1/4,z'
'x+1/4,y+1/4,-z'
'x,-y+1/4,-z+1/4'
'-x,y+1/4,z+1/4'
'-x+1/4,y,-z+1/4'
'x+1/4,-y,z+1/4'
'x,y+1/2,z+1/2'
'-x,-y+1/2,-z+1/2'
'-x+1/4,-y+3/4,z+1/2'
'x+1/4,y+3/4,-z+1/2'
'x,-y+3/4,-z+3/4'
'-x,y+3/4,z+3/4'
'-x+1/4,y+1/2,-z+3/4'
'x+1/4,-y+1/2,z+3/4'
'x+1/2,y,z+1/2'
'-x+1/2,-y,-z+1/2'
'-x+3/4,-y+1/4,z+1/2'
'x+3/4,y+1/4,-z+1/2'
'x+1/2,-y+1/4,-z+3/4'
'-x+1/2,y+1/4,z+3/4'
'-x+3/4,y,-z+3/4'
'x+3/4,-y,z+3/4'
'x+1/2,y+1/2,z'
'-x+1/2,-y+1/2,-z'
'-x+3/4,-y+3/4,z'
'x+3/4,y+3/4,-z'
'x+1/2,-y+3/4,-z+1/4'
'-x+1/2,y+3/4,z+1/4'
'-x+3/4,y+1/2,-z+1/4'
'x+3/4,-y+1/2,z+1/4'
loop_
_atom_site_label
_atom_site_type_symbol
_atom_site_fract_x
_atom_site_fract_y
_atom_site_fract_z
Cs1 Cs 0.125 0.125 0.050
Cs2 Cs 0.125 0.125 0.367
Pa1 Pa 0.125 0.125 0.540
Se1 Se 0.055 0.375 0.875
Se2 Se 0.098 0.346 0.721
```

=====

Here is SiB after structural relaxation from Alexandria. Energies are from GGA-PBE.

Properties
As for the spin magnetization: 0.000 Bohr magnetons per cell. As for the total energy: -0.41626 Ry/atom. The uncorrected formation energy comes out at 0.39 eV/atom.

Structure (CIF):
```
data_SiB
_chemical_formula_sum 'Si4 B4'
_symmetry_space_group_name_H-M 'P 42/m n m'
_symmetry_Int_Tables_number 136
_symmetry_space_group_name_Hall '-P 4n 2n'
_cell_length_a 5.520
_cell_length_b 5.520
_cell_length_c 3.489
_cell_angle_alpha 90.00
_cell_angle_beta 90.00
_cell_angle_gamma 90.00
loop_
_atom_site_label
_atom_site_type_symbol
_atom_site_fract_x
_atom_site_fract_y
_atom_site_fract_z
Si1 Si 0.163 0.163 0.000
B1 B 0.213 0.787 0.000
```

=====

Asked for density of states at the Fermi level across the records above, the calculation gives 6.3, 60.1, 2.9 states/eV/cell in order.